# 1
# LaNpTe2O (PBE, relaxed)
data_LaNpTe2O
_chemical_formula_sum 'La2 Np2 Te4 O2'
_cell_length_a 4.227
_cell_length_b 4.227
_cell_length_c 16.198
_cell_angle_alpha 90.00
_cell_angle_beta 90.00
_cell_angle_gamma 90.00
_space_group_name_H-M_alt 'P 4/n m m'
_space_group_IT_number 129
loop_
_space_group_symop_operation_xyz
'x,y,z'
'-x,-y,-z'
'-y+1/2,x,z'
'y+1/2,-x,-z'
'-x+1/2,-y+1/2,z'
'x+1/2,y+1/2,-z'
'y,-x+1/2,z'
'-y,x+1/2,-z'
'x+1/2,-y,-z'
'-x+1/2,y,z'
'-y,-x,-z'
'y,x,z'
'-x,y+1/2,-z'
'x,-y+1/2,z'
'y+1/2,x+1/2,-z'
'-y+1/2,-x+1/2,z'
loop_
_atom_site_label
_atom_site_type_symbol
_atom_site_fract_x
_atom_site_fract_y
_atom_site_fract_z
La1 La 0.250 0.250 0.139
Np1 Np 0.250 0.250 0.564
Te1 Te 0.250 0.250 0.331
Te2 Te 0.250 0.250 0.919
O1 O 0.250 0.750 0.500
# DFT total energy (eV per atom): -7.614
# Formation energy from raw total energies (eV per atom): -1.79
# Volume (Å³/f.u.): 145
# Fermi-level density of states (states/eV per cell): 10.9


# 2
# Pm12GaNi7 (PBE, relaxed)
data_Pm12GaNi7
_chemical_formula_sum 'Pm36 Ga3 Ni21'
_cell_length_a 14.4665
_cell_length_b 14.4665
_cell_length_c 8.5768
_cell_angle_alpha 90.00
_cell_angle_beta 90.00
_cell_angle_gamma 120.00
_space_group_name_H-M_alt 'R -3'
_space_group_IT_number 148
_space_group_name_Hall '-R 3'
loop_
_atom_site_label
_atom_site_type_symbol
_atom_site_fract_x
_atom_site_fract_y
_atom_site_fract_z
Pm1 Pm 0.0176 0.5811 0.3197
Pm2 Pm 0.0413 0.8747 0.2801
Ga1 Ga 0.0000 0.0000 0.0000
Ni1 Ni 0.0000 0.0000 0.5000
Ni2 Ni 0.0455 0.8628 0.9269
# DFT total energy (eV per atom): -5.241
# Volume (Å³/f.u.): 518
# Energy of formation from the pure elements (eV per atom): -0.22
# Fermi-level density of states (states/eV per cell): 67.9


# 3
# Li8Mg5Pb (PBE, relaxed)
data_Li8Mg5Pb
_chemical_formula_sum 'Li16 Mg10 Pb2'
_cell_length_a 7.796
_cell_length_b 7.796
_cell_length_c 9.847
_cell_angle_alpha 90.00
_cell_angle_beta 90.00
_cell_angle_gamma 90.00
_space_group_name_H-M_alt 'I -4'
_space_group_IT_number 82
loop_
_space_group_symop_operation_xyz
'x,y,z'
'y,-x,-z'
'-x,-y,z'
'-y,x,-z'
'x+1/2,y+1/2,z+1/2'
'y+1/2,-x+1/2,-z+1/2'
'-x+1/2,-y+1/2,z+1/2'
'-y+1/2,x+1/2,-z+1/2'
loop_
_atom_site_label
_atom_site_type_symbol
_atom_site_fract_x
_atom_site_fract_y
_atom_site_fract_z
Li1 Li 0.065 0.156 0.248
Li2 Li 0.087 0.311 0.846
Mg1 Mg 0.000 0.500 0.250
Mg2 Mg 0.140 0.238 0.544
Pb1 Pb 0.000 0.000 0.000
# DFT total energy (eV per atom): -1.929
# Volume (Å³/f.u.): 299
# Energy of formation from the pure elements (eV per atom): 0.00
# Fermi-level density of states (states/eV per cell): 14.9


> Look up the Fermi-level density of states of the second one.

67.9 states/eV per cell


> Among the records above, which one has the highest Fermi-level density of states?

Pm12GaNi7


> The lowest volume belongs to which entry?

LaNpTe2O


> What is the formula in the second record?

Pm12GaNi7